The following is a PBE calculation of a relaxed structure of MgScBrF, from Alexandria via LeMat-Bulk.

a = 10.2392 Å, b = 3.4858 Å, c = 5.3758 Å
α = 90.00°, β = 107.77°, γ = 90.00°
Last column: nearest neighbours and their distance in Å.
Space group Cm (No. 8)
Asymmetric unit:
Mg 0.0000 0.0000 0.0000 x2  1 F 2.08
Sc 0.0228 0.5000 0.4922 x2  2 F 2.17
Br 0.3004 0.5000 0.4448 x2  3 Sc 2.82-2.93, 1 F 3.03, 1 Mg 3.06
F 0.1064 0.0000 0.7255 x2  1 Mg 2.08, 2 Sc 2.17

Summary:
Calculated total energy = -4.428 eV/atom
E above lowest polymorph = 8.2 kJ per mole of atoms
Energy relative to the elements, uncorrected = -1.5600 eV per atom